Rb2TlWS4 after structural relaxation. Source: Alexandria via LeMat-Bulk, functional GGA-PBE.

Geometry as POSCAR:
```
Rb2TlWS4
1.0
0.000 6.686 12.155
3.669 0.000 12.155
3.669 6.686 0.000
Rb Tl W S
4 2 2 8
direct
0.062 0.062 0.688
0.312 0.312 0.938
0.688 0.688 0.062
0.938 0.938 0.312
0.125 0.125 0.125
0.875 0.875 0.875
0.375 0.375 0.375
0.625 0.625 0.625
0.041 0.605 0.516
0.338 0.516 0.605
0.395 0.959 0.662
0.484 0.662 0.959
0.516 0.338 0.041
0.605 0.041 0.338
0.662 0.484 0.395
0.959 0.395 0.484
```

Summary:
Space-group type ... No. 70
Total magnetic moment ... 2.04 Bohr magnetons per cell
VASP energy ... -78.2 eV/cell



Rb2Tl3WS6 after structural relaxation. Source: Alexandria via LeMat-Bulk, functional GGA-PBE.

Geometry as POSCAR:
```
Rb2Tl3WS6
1.0
3.814 -7.102 0.000
3.814 7.102 0.000
-2.744 0.000 6.472
Rb Tl W S
2 3 1 6
direct
0.176 0.824 0.000
0.824 0.176 0.000
0.000 0.000 0.500
0.363 0.637 0.500
0.637 0.363 0.500
0.500 0.500 0.000
0.178 0.416 0.780
0.303 0.303 0.206
0.416 0.178 0.780
0.584 0.822 0.220
0.697 0.697 0.794
0.822 0.584 0.220
```

Summary:
Space-group type ... No. 12
Total magnetic moment ... 0.00 Bohr magnetons per cell
VASP energy ... -53.7 eV/cell



RbTlWS4 after structural relaxation. Source: Alexandria via LeMat-Bulk, functional GGA-PBE.

Geometry as POSCAR:
```
RbTlWS4
1.0
7.234 0.000 0.000
0.000 7.049 0.000
-2.683 0.000 9.357
Rb Tl W S
2 2 2 8
direct
0.220 0.250 0.026
0.780 0.750 0.974
0.254 0.250 0.544
0.746 0.750 0.456
0.193 0.750 0.774
0.807 0.250 0.226
0.006 0.001 0.707
0.006 0.499 0.707
0.313 0.750 0.009
0.421 0.750 0.664
0.579 0.250 0.336
0.687 0.250 0.991
0.994 0.501 0.293
0.994 0.999 0.293
```

Summary:
Space-group type ... No. 11
Total magnetic moment ... 0.00 Bohr magnetons per cell
VASP energy ... -76.2 eV/cell



Rb2YTlS4 after structural relaxation. Source: Alexandria via LeMat-Bulk, functional GGA-PBE.

Geometry as POSCAR:
```
Rb2YTlS4
1.0
5.941 -6.158 0.000
5.941 6.158 0.000
-5.826 0.000 6.090
Rb Y Tl S
4 2 2 8
direct
0.000 0.000 0.000
0.000 0.000 0.500
0.000 0.500 0.000
0.500 0.000 0.500
0.500 0.500 0.000
0.500 0.500 0.500
0.000 0.500 0.500
0.500 0.000 0.000
0.258 0.721 0.526
0.278 0.300 0.542
0.279 0.742 0.974
0.300 0.278 0.042
0.700 0.722 0.958
0.721 0.258 0.026
0.722 0.700 0.458
0.742 0.279 0.474
```

Summary:
Space-group type ... No. 15
Total magnetic moment ... 0.00 Bohr magnetons per cell
VASP energy ... -72.4 eV/cell



Rb2ZrTlS after structural relaxation. Source: Alexandria via LeMat-Bulk, functional GGA-PBE.

Geometry as POSCAR:
```
Rb2ZrTlS
1.0
7.295 0.000 0.000
0.000 7.295 0.000
0.000 0.000 4.854
Rb Zr Tl S
2 1 1 1
direct
0.000 0.500 0.000
0.500 0.000 0.000
0.000 0.000 0.000
0.500 0.500 0.500
0.000 0.000 0.500
```

Summary:
Space-group type ... No. 123
Total magnetic moment ... 1.86 Bohr magnetons per cell
VASP energy ... -16.1 eV/cell



Rb2ZrTlS4 after structural relaxation. Source: Alexandria via LeMat-Bulk, functional GGA-PBE.

Geometry as POSCAR:
```
Rb2ZrTlS4
1.0
7.301 0.000 0.000
0.000 3.970 0.000
-2.287 0.000 7.573
Rb Zr Tl S
2 1 1 4
direct
0.000 0.000 0.000
0.500 0.500 0.000
0.000 0.500 0.500
0.500 0.000 0.500
0.203 0.000 0.689
0.234 0.500 0.311
0.766 0.500 0.689
0.797 0.000 0.311
```

Summary:
Space-group type ... No. 10
Total magnetic moment ... 0.00 Bohr magnetons per cell
VASP energy ... -38.0 eV/cell